1.
# AgRu2F (GGA-PBE, optimized geometry)
data_AgRu2F
_symmetry_space_group_name_H-M 'I -4 2 d'
_symmetry_Int_Tables_number 122
_symmetry_space_group_name_Hall 'I -4 2bw'
_cell_length_a 3.456
_cell_length_b 3.456
_cell_length_c 21.255
_cell_angle_alpha 90.00
_cell_angle_beta 90.00
_cell_angle_gamma 90.00
loop_
_atom_site_label
_atom_site_fract_x
_atom_site_fract_y
_atom_site_fract_z
Ag1 0.000 0.000 0.000
Ru1 0.249 0.250 0.125
F1 0.000 0.000 0.500
# **Energy relative to the elements, uncorrected**: 0.461 eV/atom
# **N(E_F)**: 1.203 states/eV/atom

2.
# Ag2RuF (GGA-PBE, optimized geometry)
data_Ag2RuF
_symmetry_space_group_name_H-M 'P 1'
_symmetry_Int_Tables_number 1
_symmetry_space_group_name_Hall 'P 1'
_cell_length_a 2.836
_cell_length_b 5.120
_cell_length_c 9.149
_cell_angle_alpha 93.15
_cell_angle_beta 90.12
_cell_angle_gamma 105.97
loop_
_atom_site_label
_atom_site_fract_x
_atom_site_fract_y
_atom_site_fract_z
Ag1 0.000 0.000 0.000
Ag2 0.060 0.120 0.460
Ag3 0.267 0.531 0.866
Ag4 0.529 0.059 0.729
Ru1 0.777 0.559 0.342
Ru2 0.801 0.604 0.589
F1 0.379 0.766 0.215
F2 0.655 0.316 0.144
# **Energy relative to the elements, uncorrected**: -0.157 eV/atom
# **N(E_F)**: 0.621 states/eV/atom

3.
# Ag2RuF (GGA-PBE, optimized geometry)
data_Ag2RuF
_symmetry_space_group_name_H-M 'P 1'
_symmetry_Int_Tables_number 1
_symmetry_space_group_name_Hall 'P 1'
_cell_length_a 2.808
_cell_length_b 5.004
_cell_length_c 8.781
_cell_angle_alpha 89.65
_cell_angle_beta 89.96
_cell_angle_gamma 89.96
loop_
_atom_site_label
_atom_site_fract_x
_atom_site_fract_y
_atom_site_fract_z
Ag1 0.000 0.000 0.000
Ag2 0.000 0.494 0.179
Ag3 0.499 0.987 0.281
Ag4 0.500 0.009 0.721
Ru1 0.001 0.501 0.653
Ru2 0.500 0.506 0.889
F1 0.010 0.298 0.449
F2 0.992 0.785 0.485
# **Energy relative to the elements, uncorrected**: -0.193 eV/atom
# **N(E_F)**: 0.761 states/eV/atom

4.
# Ag2RuF2 (GGA-PBE, optimized geometry)
data_Ag2RuF2
_symmetry_space_group_name_H-M 'I 4/m m m'
_symmetry_Int_Tables_number 139
_symmetry_space_group_name_Hall '-I 4 2'
_cell_length_a 3.863
_cell_length_b 3.863
_cell_length_c 10.931
_cell_angle_alpha 90.00
_cell_angle_beta 90.00
_cell_angle_gamma 90.00
loop_
_atom_site_label
_atom_site_fract_x
_atom_site_fract_y
_atom_site_fract_z
Ag1 0.000 0.500 0.250
Ru1 0.000 0.000 0.000
F1 0.000 0.000 0.392
# **Energy relative to the elements, uncorrected**: 0.152 eV/atom
# **N(E_F)**: 0.654 states/eV/atom

5.
# Ag2RuF5 (GGA-PBE, optimized geometry)
data_Ag2RuF5
_symmetry_space_group_name_H-M 'C m c m'
_symmetry_Int_Tables_number 63
_symmetry_space_group_name_Hall '-C 2c 2'
_cell_length_a 4.040
_cell_length_b 12.150
_cell_length_c 11.579
_cell_angle_alpha 90.00
_cell_angle_beta 90.00
_cell_angle_gamma 90.00
loop_
_atom_site_label
_atom_site_fract_x
_atom_site_fract_y
_atom_site_fract_z
Ag1 0.000 0.139 0.067
Ru1 0.000 0.157 0.750
F1 0.000 0.047 0.621
F2 0.000 0.271 0.620
F3 0.000 0.329 0.250
# **Energy relative to the elements, uncorrected**: -1.250 eV/atom
# **N(E_F)**: 0.671 states/eV/atom

6.
# Ag2RuF2 (GGA-PBE, optimized geometry)
data_Ag2RuF2
_symmetry_space_group_name_H-M 'P 4/m b m'
_symmetry_Int_Tables_number 127
_symmetry_space_group_name_Hall '-P 4 2ab'
_cell_length_a 7.133
_cell_length_b 7.133
_cell_length_c 2.868
_cell_angle_alpha 90.00
_cell_angle_beta 90.00
_cell_angle_gamma 90.00
loop_
_atom_site_label
_atom_site_fract_x
_atom_site_fract_y
_atom_site_fract_z
Ag1 0.153 0.347 0.000
Ru1 0.000 0.000 0.500
F1 0.143 0.643 0.500
# **Energy relative to the elements, uncorrected**: -0.140 eV/atom
# **N(E_F)**: 0.640 states/eV/atom

7.
# Ag2RuF6 (GGA-PBE, optimized geometry)
data_Ag2RuF6
_symmetry_space_group_name_H-M 'P 4/m n c'
_symmetry_Int_Tables_number 128
_symmetry_space_group_name_Hall '-P 4 2n'
_cell_length_a 6.392
_cell_length_b 6.392
_cell_length_c 7.734
_cell_angle_alpha 90.00
_cell_angle_beta 90.00
_cell_angle_gamma 90.00
loop_
_atom_site_label
_atom_site_fract_x
_atom_site_fract_y
_atom_site_fract_z
Ag1 0.000 0.500 0.250
Ru1 0.000 0.000 0.000
F1 0.000 0.000 0.247
F2 0.094 0.296 0.000
# **Energy relative to the elements, uncorrected**: -1.410 eV/atom
# **N(E_F)**: 0.564 states/eV/atom

8.
# Ag6RuF12 (GGA-PBE, optimized geometry)
data_Ag6RuF12
_symmetry_space_group_name_H-M 'R -3'
_symmetry_Int_Tables_number 148
_symmetry_space_group_name_Hall '-R 3'
_cell_length_a 10.3023
_cell_length_b 10.3023
_cell_length_c 10.0119
_cell_angle_alpha 90.00
_cell_angle_beta 90.00
_cell_angle_gamma 120.00
loop_
_atom_site_label
_atom_site_fract_x
_atom_site_fract_y
_atom_site_fract_z
Ag1 0.0350 0.2454 0.1467
Ru1 0.0000 0.0000 0.5000
F1 0.0162 0.2279 0.8937
F2 0.0469 0.1743 0.3930
# **Energy relative to the elements, uncorrected**: -1.286 eV/atom
# **N(E_F)**: 0.720 states/eV/atom